1.
A plane-wave DFT calculation with PBE was carried out for a relaxed K2HgAs2O6 crystal.

Calculated values
- Raw formation energy: -1.237 eV per atom

```
data_K2HgAs2O6
_cell_length_a 6.229
_cell_length_b 6.229
_cell_length_c 6.895
_cell_angle_alpha 115.24
_cell_angle_beta 115.24
_cell_angle_gamma 56.45
_symmetry_space_group_name_H-M 'P 1'
_symmetry_Int_Tables_number 1
_symmetry_space_group_name_Hall 'P 1'
loop_
_atom_site_label
_atom_site_fract_x
_atom_site_fract_y
_atom_site_fract_z
K1 0.210 0.210 0.189
K2 0.790 0.790 0.811
Hg1 0.000 0.000 0.500
As1 0.469 0.469 0.800
As2 0.531 0.531 0.200
O1 0.204 0.687 0.216
O2 0.294 0.294 0.636
O3 0.313 0.796 0.784
O4 0.687 0.204 0.216
O5 0.706 0.706 0.364
O6 0.796 0.313 0.784
```



2.
A plane-wave DFT calculation with PBE was carried out for a relaxed KHgAs2P crystal.

Calculated values
- Formation enthalpy at 0 K: 37.0 kcal/mol of atoms
- D(E_F): 4.29 states/eV/cell

```
data_KHgAs2P
_cell_length_a 5.569
_cell_length_b 5.569
_cell_length_c 5.410
_cell_angle_alpha 90.00
_cell_angle_beta 90.00
_cell_angle_gamma 90.00
_symmetry_space_group_name_H-M 'P 1'
_symmetry_Int_Tables_number 1
_symmetry_space_group_name_Hall 'P 1'
loop_
_atom_site_label
_atom_site_fract_x
_atom_site_fract_y
_atom_site_fract_z
K1 0.000 0.000 0.000
Hg1 0.500 0.500 0.500
As1 0.000 0.500 0.000
As2 0.500 0.000 0.000
P1 0.000 0.000 0.500
```



3.
A plane-wave DFT calculation with PBE was carried out for a relaxed KHgAsPb crystal.

Calculated values
- Formation enthalpy at 0 K: -3.1 kcal/mol of atoms

```
data_KHgAsPb
_cell_length_a 7.731
_cell_length_b 7.731
_cell_length_c 7.731
_cell_angle_alpha 90.00
_cell_angle_beta 90.00
_cell_angle_gamma 90.00
_symmetry_space_group_name_H-M 'P 1'
_symmetry_Int_Tables_number 1
_symmetry_space_group_name_Hall 'P 1'
loop_
_atom_site_label
_atom_site_fract_x
_atom_site_fract_y
_atom_site_fract_z
K1 0.000 0.000 0.000
K2 0.000 0.500 0.500
K3 0.500 0.000 0.500
K4 0.500 0.500 0.000
Hg1 0.250 0.250 0.250
Hg2 0.250 0.750 0.750
Hg3 0.750 0.250 0.750
Hg4 0.750 0.750 0.250
As1 0.250 0.250 0.750
As2 0.250 0.750 0.250
As3 0.750 0.250 0.250
As4 0.750 0.750 0.750
Pb1 0.000 0.000 0.500
Pb2 0.000 0.500 0.000
Pb3 0.500 0.000 0.000
Pb4 0.500 0.500 0.500
```



4.
A plane-wave DFT calculation with PBE was carried out for a relaxed KHg2AsPd2 crystal.

Calculated values
- Formation enthalpy at 0 K: -5.9 kcal/mol of atoms
- D(E_F): 1.56 states/eV/cell

```
data_KHg2AsPd2
_cell_length_a 4.816
_cell_length_b 4.816
_cell_length_c 6.338
_cell_angle_alpha 90.00
_cell_angle_beta 90.00
_cell_angle_gamma 90.00
_symmetry_space_group_name_H-M 'P 1'
_symmetry_Int_Tables_number 1
_symmetry_space_group_name_Hall 'P 1'
loop_
_atom_site_label
_atom_site_fract_x
_atom_site_fract_y
_atom_site_fract_z
K1 0.000 0.000 0.000
Hg1 0.500 0.500 0.230
Hg2 0.500 0.500 0.770
As1 0.000 0.000 0.500
Pd1 0.000 0.500 0.500
Pd2 0.500 0.000 0.500
```



5.
A plane-wave DFT calculation with PBE was carried out for a relaxed K2HgAsPd crystal.

Calculated values
- Offset from the most stable computed form: 0.000 eV per atom
- Formation enthalpy at 0 K: -6.0 kcal/mol of atoms
- D(E_F): 2.37 states/eV/cell

```
data_K2HgAsPd
_cell_length_a 6.310
_cell_length_b 6.310
_cell_length_c 4.643
_cell_angle_alpha 90.00
_cell_angle_beta 90.00
_cell_angle_gamma 90.00
_symmetry_space_group_name_H-M 'P 1'
_symmetry_Int_Tables_number 1
_symmetry_space_group_name_Hall 'P 1'
loop_
_atom_site_label
_atom_site_fract_x
_atom_site_fract_y
_atom_site_fract_z
K1 0.000 0.500 0.000
K2 0.500 0.000 0.000
Hg1 0.000 0.000 0.500
As1 0.500 0.500 0.500
Pd1 0.500 0.500 0.000
```



6.
A plane-wave DFT calculation with PBE was carried out for a relaxed KHg2AsPt crystal.

Calculated values
- Formation enthalpy at 0 K: -3.0 kcal/mol of atoms
- D(E_F): 3.81 states/eV/cell

```
data_KHg2AsPt
_cell_length_a 5.346
_cell_length_b 5.346
_cell_length_c 4.992
_cell_angle_alpha 90.00
_cell_angle_beta 90.00
_cell_angle_gamma 90.00
_symmetry_space_group_name_H-M 'P 1'
_symmetry_Int_Tables_number 1
_symmetry_space_group_name_Hall 'P 1'
loop_
_atom_site_label
_atom_site_fract_x
_atom_site_fract_y
_atom_site_fract_z
K1 0.000 0.000 0.000
Hg1 0.000 0.500 0.500
Hg2 0.500 0.000 0.500
As1 0.500 0.500 0.000
Pt1 0.500 0.500 0.500
```



7.
A plane-wave DFT calculation with PBE was carried out for a relaxed KRb2HgAs crystal.

Calculated values
- Formation enthalpy at 0 K: -4.0 kcal/mol of atoms
- D(E_F): 2.76 states/eV/cell

```
data_KRb2HgAs
_cell_length_a 6.788
_cell_length_b 6.788
_cell_length_c 6.449
_cell_angle_alpha 90.00
_cell_angle_beta 90.00
_cell_angle_gamma 90.00
_symmetry_space_group_name_H-M 'P 1'
_symmetry_Int_Tables_number 1
_symmetry_space_group_name_Hall 'P 1'
loop_
_atom_site_label
_atom_site_fract_x
_atom_site_fract_y
_atom_site_fract_z
K1 0.000 0.000 0.000
Rb1 0.000 0.500 0.500
Rb2 0.500 0.000 0.500
Hg1 0.500 0.500 0.000
As1 0.000 0.000 0.500
```



8.
A plane-wave DFT calculation with PBE was carried out for a relaxed K2RbHgAs crystal.

Calculated values
- Offset from the most stable computed form: 0.047 eV per atom
- Formation enthalpy at 0 K: -3.3 kcal/mol of atoms
- D(E_F): 2.76 states/eV/cell

```
data_K2RbHgAs
_cell_length_a 6.518
_cell_length_b 6.518
_cell_length_c 5.603
_cell_angle_alpha 90.00
_cell_angle_beta 90.00
_cell_angle_gamma 90.00
_symmetry_space_group_name_H-M 'P 1'
_symmetry_Int_Tables_number 1
_symmetry_space_group_name_Hall 'P 1'
loop_
_atom_site_label
_atom_site_fract_x
_atom_site_fract_y
_atom_site_fract_z
K1 0.000 0.500 0.000
K2 0.500 0.000 0.000
Rb1 0.000 0.000 0.500
Hg1 0.500 0.500 0.500
As1 0.500 0.500 0.000
```



9.
A plane-wave DFT calculation with PBE was carried out for a relaxed K2RbHgAs crystal.

Calculated values
- Offset from the most stable computed form: 0.000 eV per atom
- Formation enthalpy at 0 K: -4.4 kcal/mol of atoms
- D(E_F): 2.42 states/eV/cell

```
data_K2RbHgAs
_cell_length_a 6.445
_cell_length_b 6.445
_cell_length_c 6.770
_cell_angle_alpha 90.00
_cell_angle_beta 90.00
_cell_angle_gamma 90.00
_symmetry_space_group_name_H-M 'P 1'
_symmetry_Int_Tables_number 1
_symmetry_space_group_name_Hall 'P 1'
loop_
_atom_site_label
_atom_site_fract_x
_atom_site_fract_y
_atom_site_fract_z
K1 0.000 0.500 0.000
K2 0.500 0.000 0.000
Rb1 0.000 0.000 0.500
Hg1 0.500 0.500 0.500
As1 0.000 0.000 0.000
```



10.
A plane-wave DFT calculation with PBE was carried out for a relaxed KRbHg2As crystal.

Calculated values
- Formation enthalpy at 0 K: -5.9 kcal/mol of atoms
- D(E_F): 4.70 states/eV/cell

```
data_KRbHg2As
_cell_length_a 4.752
_cell_length_b 5.359
_cell_length_c 14.454
_cell_angle_alpha 90.00
_cell_angle_beta 90.00
_cell_angle_gamma 90.00
_symmetry_space_group_name_H-M 'P 1'
_symmetry_Int_Tables_number 1
_symmetry_space_group_name_Hall 'P 1'
loop_
_atom_site_label
_atom_site_fract_x
_atom_site_fract_y
_atom_site_fract_z
K1 0.000 0.000 0.000
K2 0.500 0.500 0.500
Rb1 0.000 0.500 0.262
Rb2 0.500 0.000 0.762
Hg1 0.000 0.000 0.466
Hg2 0.000 0.500 0.670
Hg3 0.500 0.000 0.170
Hg4 0.500 0.500 0.966
As1 0.000 0.500 0.863
As2 0.500 0.000 0.363
```



11.
A plane-wave DFT calculation with PBE was carried out for a relaxed KHg2AsRu crystal.

Calculated values
- Formation enthalpy at 0 K: -2.3 kcal/mol of atoms
- D(E_F): 1.86 states/eV/cell

```
data_KHg2AsRu
_cell_length_a 5.413
_cell_length_b 5.413
_cell_length_c 4.661
_cell_angle_alpha 90.00
_cell_angle_beta 90.00
_cell_angle_gamma 90.00
_symmetry_space_group_name_H-M 'P 1'
_symmetry_Int_Tables_number 1
_symmetry_space_group_name_Hall 'P 1'
loop_
_atom_site_label
_atom_site_fract_x
_atom_site_fract_y
_atom_site_fract_z
K1 0.000 0.000 0.000
Hg1 0.000 0.500 0.500
Hg2 0.500 0.000 0.500
As1 0.500 0.500 0.000
Ru1 0.500 0.500 0.500
```



12.
A plane-wave DFT calculation with PBE was carried out for a relaxed K2HgAs2S6 crystal.

Calculated values
- Raw formation energy: -0.398 eV per atom
- D(E_F): 1.42 states/eV/cell

```
data_K2HgAs2S6
_cell_length_a 7.256
_cell_length_b 7.256
_cell_length_c 7.644
_cell_angle_alpha 110.02
_cell_angle_beta 110.02
_cell_angle_gamma 57.19
_symmetry_space_group_name_H-M 'P 1'
_symmetry_Int_Tables_number 1
_symmetry_space_group_name_Hall 'P 1'
loop_
_atom_site_label
_atom_site_fract_x
_atom_site_fract_y
_atom_site_fract_z
K1 0.207 0.207 0.206
K2 0.793 0.793 0.794
Hg1 0.000 0.000 0.500
As1 0.477 0.477 0.817
As2 0.523 0.523 0.183
S1 0.170 0.689 0.205
S2 0.297 0.297 0.671
S3 0.311 0.830 0.795
S4 0.689 0.170 0.205
S5 0.703 0.703 0.329
S6 0.830 0.311 0.795
```



13.
A plane-wave DFT calculation with PBE was carried out for a relaxed K4HgSb2As2 crystal.

Calculated values
- Raw formation energy: -0.338 eV per atom
- D(E_F): 3.68 states/eV/cell

```
data_K4HgSb2As2
_cell_length_a 6.837
_cell_length_b 6.837
_cell_length_c 6.999
_cell_angle_alpha 92.14
_cell_angle_beta 92.14
_cell_angle_gamma 102.66
_symmetry_space_group_name_H-M 'P 1'
_symmetry_Int_Tables_number 1
_symmetry_space_group_name_Hall 'P 1'
loop_
_atom_site_label
_atom_site_fract_x
_atom_site_fract_y
_atom_site_fract_z
K1 0.091 0.679 0.759
K2 0.321 0.909 0.241
K3 0.679 0.091 0.759
K4 0.909 0.321 0.241
Hg1 0.500 0.500 0.500
Sb1 0.217 0.217 0.688
Sb2 0.783 0.783 0.312
As1 0.362 0.362 0.043
As2 0.638 0.638 0.957
```



| no. | volume (Å³/f.u.) |
| --- | --- |
| 1 | 195.1 |
| 2 | 167.8 |
| 3 | 115.5 |
| 4 | 147.0 |
| 5 | 184.9 |
| 6 | 142.7 |
| 7 | 297.2 |
| 8 | 238.0 |
| 9 | 281.2 |
| 10 | 184.0 |
| 11 | 136.6 |
| 12 | 311.5 |
| 13 | 318.6 |